[1]
# RbZn2PbCl8 (GGA-PBE, relaxed)
data_RbZn2PbCl8
_chemical_formula_sum 'Rb1 Zn2 Pb1 Cl8'
_cell_length_a 10.9004
_cell_length_b 10.9004
_cell_length_c 10.9004
_cell_angle_alpha 34.46
_cell_angle_beta 34.46
_cell_angle_gamma 34.46
_space_group_name_H-M_alt 'P 1'
_space_group_IT_number 1
_space_group_name_Hall 'P 1'
loop_
_atom_site_label
_atom_site_fract_x
_atom_site_fract_y
_atom_site_fract_z
_atom_site_occupancy
Rb1 0.0000 0.0000 0.0000 1
Zn1 0.2495 0.2495 0.2495 1
Zn2 0.7505 0.7505 0.7505 1
Pb1 0.5000 0.5000 0.5000 1
Cl1 0.1101 0.4344 0.7787 1
Cl2 0.2213 0.5656 0.8899 1
Cl3 0.3222 0.3222 0.3222 1
Cl4 0.4344 0.7787 0.1101 1
Cl5 0.5656 0.8899 0.2213 1
Cl6 0.6778 0.6778 0.6778 1
Cl7 0.7787 0.1101 0.4344 1
Cl8 0.8899 0.2213 0.5656 1
# Total energy = -35.49 eV/cell
# Space group = R32, No. 155

=====

[2]
# CaZnTcGe2 (GGA-PBE, relaxed)
data_CaZnTcGe2
_chemical_formula_sum 'Ca1 Zn1 Tc1 Ge2'
_cell_length_a 4.7532
_cell_length_b 4.7532
_cell_length_c 5.1748
_cell_angle_alpha 90.00
_cell_angle_beta 90.00
_cell_angle_gamma 90.00
_space_group_name_H-M_alt 'P 1'
_space_group_IT_number 1
_space_group_name_Hall 'P 1'
loop_
_atom_site_label
_atom_site_fract_x
_atom_site_fract_y
_atom_site_fract_z
_atom_site_occupancy
Ca1 0.0000 0.0000 0.0000 1
Zn1 0.0000 0.0000 0.5000 1
Tc1 0.5000 0.5000 0.0000 1
Ge1 0.0000 0.5000 0.5000 1
Ge2 0.5000 0.0000 0.5000 1
# Energy relative to the elements = 944 meV/atom
# Total energy = -18.16 eV/cell
# Space group = P4/mmm, No. 123

=====

Number 2 is which compound?
CaZnTcGe2

=====

Please write out number 1 again, unchanged.
# RbZn2PbCl8 (GGA-PBE, relaxed)
data_RbZn2PbCl8
_chemical_formula_sum 'Rb1 Zn2 Pb1 Cl8'
_cell_length_a 10.9004
_cell_length_b 10.9004
_cell_length_c 10.9004
_cell_angle_alpha 34.46
_cell_angle_beta 34.46
_cell_angle_gamma 34.46
_space_group_name_H-M_alt 'P 1'
_space_group_IT_number 1
_space_group_name_Hall 'P 1'
loop_
_atom_site_label
_atom_site_fract_x
_atom_site_fract_y
_atom_site_fract_z
_atom_site_occupancy
Rb1 0.0000 0.0000 0.0000 1
Zn1 0.2495 0.2495 0.2495 1
Zn2 0.7505 0.7505 0.7505 1
Pb1 0.5000 0.5000 0.5000 1
Cl1 0.1101 0.4344 0.7787 1
Cl2 0.2213 0.5656 0.8899 1
Cl3 0.3222 0.3222 0.3222 1
Cl4 0.4344 0.7787 0.1101 1
Cl5 0.5656 0.8899 0.2213 1
Cl6 0.6778 0.6778 0.6778 1
Cl7 0.7787 0.1101 0.4344 1
Cl8 0.8899 0.2213 0.5656 1
# Total energy = -35.49 eV/cell
# Space group = R32, No. 155